Zn2CS | PBE | relaxed

Structure (POSCAR):
```
Zn2CS
1.0
5.206 0.000 0.000
0.000 5.206 0.000
2.603 2.603 4.740
C Zn S
2 4 2
Direct
0.500 0.500 0.000
0.250 0.750 0.500
0.569 0.125 0.250
0.181 0.625 0.250
0.375 0.431 0.750
0.875 0.819 0.750
0.000 0.000 0.000
0.750 0.250 0.500
```

Properties
Magnetic moment ... 0.00 μB/f.u.
Total DFT energy (no corrections) ... -27.4 eV per cell